Below is a relaxed structure of TbCu5Sn, with properties calculated at the GGA-PBEsol level.

**ΔE_f**: -278.3 meV per atom
**Magnetization**: 0.0 μB per cell
**Crystal system**: orthorhombic

abc: 8.1052 4.9101 10.4368
angles: 90.00 90.00 90.00
With the nearest neighbours (Å) after each atom.
Fractional positions:
Tb  0.2490  0.2500  0.0621  10 Cu 2.83-3.16
Tb  0.2510  0.7500  0.5621  10 Cu 2.83-3.16
Tb  0.7490  0.2500  0.4379  10 Cu 2.83-3.16
Tb  0.7510  0.7500  0.9379  10 Cu 2.83-3.16
Cu  0.0591  0.7500  0.1023  4 Cu 2.51-2.55, 1 Sn 2.60
Cu  0.0697  0.0010  0.3121  7 Cu 2.45-2.51, 1 Sn 2.72
Cu  0.0697  0.4990  0.3121  7 Cu 2.45-2.51, 1 Sn 2.72
Cu  0.0832  0.2500  0.5167  5 Cu 2.46-2.50
Cu  0.1825  0.2500  0.7419  7 Cu 2.45-2.55
Cu  0.3175  0.7500  0.2419  7 Cu 2.45-2.55
Cu  0.4168  0.7500  0.0167  5 Cu 2.46-2.50
Cu  0.4303  0.5010  0.8121  7 Cu 2.45-2.51, 1 Sn 2.72
Cu  0.4303  0.9990  0.8121  7 Cu 2.45-2.51, 1 Sn 2.72
Cu  0.4409  0.2500  0.6023  4 Cu 2.51-2.55, 1 Sn 2.60
Cu  0.5591  0.7500  0.3977  4 Cu 2.51-2.55, 1 Sn 2.60
Cu  0.5697  0.0010  0.1879  7 Cu 2.45-2.51, 1 Sn 2.72
Cu  0.5697  0.4990  0.1879  7 Cu 2.45-2.51, 1 Sn 2.72
Cu  0.5832  0.2500  0.9833  5 Cu 2.46-2.50
Cu  0.6825  0.2500  0.7581  7 Cu 2.45-2.55
Cu  0.8175  0.7500  0.2581  7 Cu 2.45-2.55
Cu  0.9168  0.7500  0.4833  5 Cu 2.46-2.50
Cu  0.9303  0.5010  0.6879  7 Cu 2.45-2.51, 1 Sn 2.72
Cu  0.9303  0.9990  0.6879  7 Cu 2.45-2.51, 1 Sn 2.72
Cu  0.9409  0.2500  0.8977  4 Cu 2.51-2.55, 1 Sn 2.60
Sn  0.1378  0.7500  0.8610  8 Cu 2.60-2.78
Sn  0.3622  0.2500  0.3610  8 Cu 2.60-2.78
Sn  0.6378  0.7500  0.6390  8 Cu 2.60-2.78
Sn  0.8622  0.2500  0.1390  8 Cu 2.60-2.78